Entry 1:
{
  "formula": "SiAgOs",
  "functional": "PBE-GGA",
  "state": "relaxed",
  "lattice_angstrom": [[3.0324, 0.0000, 0.0000], [0.0000, 4.8124, 0.0000], [0.0000, 0.0000, 12.9739]],
  "species": ["Si", "Si", "Si", "Si", "Ag", "Ag", "Ag", "Ag", "Os", "Os", "Os", "Os"],
  "frac_coords": [[0.0000, 0.0000, 0.0000], [0.0000, 0.5000, 0.5000], [0.5000, 0.0000, 0.5000], [0.5000, 0.5000, 0.0000], [0.0000, 0.0000, 0.3267], [0.0000, 0.5000, 0.8267], [0.5000, 0.0000, 0.8267], [0.5000, 0.5000, 0.3267], [0.0000, 0.0000, 0.6346], [0.0000, 0.5000, 0.1346], [0.5000, 0.0000, 0.1346], [0.5000, 0.5000, 0.6346]],
  "raw_formation_energy_kj_per_mol_atoms": 39,
  "relative_energy_mev_per_atom": 189
}

=====

Entry 2:
{
  "formula": "SiAgOs4",
  "functional": "PBE-GGA",
  "state": "relaxed",
  "lattice_angstrom": [[0.0000, 3.6622, 3.6622], [3.6622, 0.0000, 3.6622], [3.6622, 3.6622, 0.0000]],
  "species": ["Si", "Ag", "Os", "Os", "Os", "Os"],
  "frac_coords": [[0.0000, 0.0000, 0.0000], [0.7500, 0.7500, 0.7500], [0.3748, 0.3748, 0.3748], [0.3748, 0.3748, 0.8754], [0.3748, 0.8754, 0.3748], [0.8754, 0.3748, 0.3748]],
  "raw_formation_energy_kj_per_mol_atoms": 99
}

=====

Entry 3:
{
  "formula": "SiAgOs2",
  "functional": "PBE-GGA",
  "state": "relaxed",
  "lattice_angstrom": [[2.8073, 0.0000, 0.0000], [0.0000, 3.8154, 0.0000], [0.0000, 0.0000, 5.6656]],
  "species": ["Si", "Ag", "Os", "Os"],
  "frac_coords": [[0.0000, 0.0000, 0.0000], [0.5000, 0.5000, 0.2715], [0.0000, 0.0000, 0.5656], [0.5000, 0.5000, 0.7671]],
  "raw_formation_energy_kj_per_mol_atoms": 40
}